La3AuN | GGA-PBE | relaxed

space-group type	Pm-3m
spin magnetization	0.00	μB per atom
Fermi-level density of states	6.36	states/eV per cell
ΔE to the lowest computed polymorph	0.506	eV per formula unit
formation energy from raw total energies	-0.810	eV/atom

Unit cell a=5.0561 b=5.0561 c=5.0561 alpha=90.00 beta=90.00 gamma=90.00
Last column: nearest neighbours and their distance in Å.
Atoms (fractional coordinates):
La: 0.0000 0.0000 0.5000  2 N 2.53
Au: 0.5000 0.5000 0.5000  12 La 3.58
La: 0.0000 0.5000 0.0000  2 N 2.53
N: 0.0000 0.0000 0.0000  6 La 2.53
La: 0.5000 0.0000 0.0000  2 N 2.53

La2AuN | GGA-PBE | relaxed

space-group type	R3m
spin magnetization	0.00	μB per atom
Fermi-level density of states	3.63	states/eV per cell
formation energy from raw total energies	-0.952	eV/atom

Unit cell a=3.7622 b=3.7622 c=7.8884 alpha=76.20 beta=76.20 gamma=60.00
Last column: nearest neighbours and their distance in Å.
Atoms (fractional coordinates):
N: 0.6668 0.6668 0.9996  6 La 2.60-2.61
La: 0.0630 0.0630 0.8109  3 N 2.60
La: 0.2698 0.2698 0.1907  3 N 2.61
Au: 0.5004 0.5004 0.4988  6 La 3.19-3.21

La5Au2N | GGA-PBE | relaxed

space-group type	C2/c
spin magnetization	0.00	μB per atom
Fermi-level density of states	14.89	states/eV per cell
ΔE to the lowest computed polymorph	0.000	eV per formula unit
formation energy from raw total energies	-0.752	eV/atom

Unit cell a=6.9859 b=7.4666 c=9.4725 alpha=93.95 beta=111.64 gamma=90.00
Last column: nearest neighbours and their distance in Å.
Atoms (fractional coordinates):
Au: 0.8978 0.5548 0.2171  6 La 3.06-3.17
N: 0.5000 0.5000 0.5000  6 La 2.58-2.66
Au: 0.3194 0.0548 0.2171  6 La 3.06-3.17
La: 0.1672 0.2910 0.4443  2 N 2.64-2.66
La: 0.2771 0.7910 0.4443  2 N 2.64-2.66
La: 0.2534 0.0515 0.7788  1 N 2.58
La: 0.9440 0.2500 0.0000  4 Au 3.06-3.11
Au: 0.6806 0.9452 0.7829  6 La 3.06-3.17
La: 0.7229 0.2090 0.5557  2 N 2.64-2.66
La: 0.7466 0.9485 0.2212  1 N 2.58
N: 0.0000 0.0000 0.5000  6 La 2.58-2.66
La: 0.5254 0.5515 0.7788  1 N 2.58
La: 0.8328 0.7090 0.5557  2 N 2.64-2.66
Au: 0.1022 0.4452 0.7829  6 La 3.06-3.17
La: 0.4746 0.4485 0.2212  1 N 2.58
La: 0.0560 0.7500 0.0000  4 Au 3.06-3.11

LaAuN | GGA-PBE | relaxed

space-group type	P4/mmm
spin magnetization	0.00	μB per atom
Fermi-level density of states	0.94	states/eV per cell
formation energy from raw total energies	-0.688	eV/atom

Unit cell a=3.6259 b=3.6259 c=4.5088 alpha=90.00 beta=90.00 gamma=90.00
Last column: nearest neighbours and their distance in Å.
Atoms (fractional coordinates):
Au: 0.0000 0.0000 0.0000  2 N 2.25
La: 0.5000 0.5000 0.5000  4 N 2.56
N: 0.0000 0.0000 0.5000  2 Au 2.25

LaAuN2 | GGA-PBE | relaxed

space-group type	Fm-3m
spin magnetization	0.50	μB per atom
Fermi-level density of states	3.55	states/eV per cell
ΔE to the lowest computed polymorph	2.093	eV per formula unit
formation energy from raw total energies	0.402	eV/atom

Unit cell a=4.3911 b=4.3911 c=4.3911 alpha=60.00 beta=60.00 gamma=60.00
Last column: nearest neighbours and their distance in Å.
Atoms (fractional coordinates):
N: 0.7500 0.7500 0.7500  4 La 2.69, 4 Au 2.69
Au: 0.5000 0.5000 0.5000  8 N 2.69
La: 0.0000 0.0000 0.0000  8 N 2.69
N: 0.2500 0.2500 0.2500  4 La 2.69, 4 Au 2.69

La3AuN | GGA-PBE | relaxed

space-group type	Pnma
spin magnetization	0.00	μB per atom
Fermi-level density of states	13.22	states/eV per cell
ΔE to the lowest computed polymorph	0.000	eV per formula unit
formation energy from raw total energies	-0.911	eV/atom

Unit cell a=7.3014 b=10.1048 c=7.0019 alpha=90.00 beta=90.00 gamma=90.00
Last column: nearest neighbours and their distance in Å.
Atoms (fractional coordinates):
Au: 0.4408 0.7500 0.5289  6 La 3.10-3.25
La: 0.9759 0.2500 0.5948  2 N 2.62
La: 0.7890 0.4533 0.2035  2 N 2.59-2.63
La: 0.7110 0.9533 0.7035  2 N 2.59-2.63
N: 0.0000 0.0000 0.5000  6 La 2.59-2.63
N: 0.5000 0.0000 0.0000  6 La 2.59-2.63
N: 0.0000 0.5000 0.5000  6 La 2.59-2.63
La: 0.2890 0.0467 0.2965  2 N 2.59-2.63
La: 0.7890 0.0467 0.2035  2 N 2.59-2.63
Au: 0.5592 0.2500 0.4711  6 La 3.10-3.25
La: 0.2890 0.4533 0.2965  2 N 2.59-2.63
La: 0.5241 0.7500 0.0948  2 N 2.62
Au: 0.0592 0.2500 0.0289  6 La 3.10-3.25
La: 0.2110 0.9533 0.7965  2 N 2.59-2.63
La: 0.4759 0.2500 0.9052  2 N 2.62
La: 0.7110 0.5467 0.7035  2 N 2.59-2.63
La: 0.0241 0.7500 0.4052  2 N 2.62
Au: 0.9408 0.7500 0.9711  6 La 3.10-3.25
N: 0.5000 0.5000 0.0000  6 La 2.59-2.63
La: 0.2110 0.5467 0.7965  2 N 2.59-2.63

La5Au2N2 | GGA-PBE | relaxed

space-group type	Ima2
spin magnetization	0.00	μB per atom
Fermi-level density of states	14.75	states/eV per cell
formation energy from raw total energies	-0.951	eV/atom

Unit cell a=7.3306 b=7.1028 c=10.6818 alpha=109.42 beta=110.07 gamma=90.00
Last column: nearest neighbours and their distance in Å.
Atoms (fractional coordinates):
La: 0.7582 0.7593 0.0304  2 N 2.55-2.58
Au: 0.4166 0.8989 0.7893  7 La 3.08-3.36
La: 0.8841 0.1284 0.5000  2 N 2.42-2.45
N: 0.8244 0.7895 0.5000  4 La 2.34-2.45
La: 0.4224 0.3246 0.7173  1 N 2.34
La: 0.2051 0.1072 0.2827  1 N 2.34
La: 0.7722 0.2593 0.0304  2 N 2.55-2.58
La: 0.2278 0.2289 0.9696  2 N 2.55-2.58
N: 0.5000 0.4896 0.0000  6 La 2.55-2.70
La: 0.1159 0.6284 0.5000  2 N 2.42-2.45
Au: 0.8727 0.3989 0.7893  7 La 3.08-3.36
Au: 0.5834 0.1096 0.2107  7 La 3.08-3.36
Au: 0.1273 0.6096 0.2107  7 La 3.08-3.36
N: 0.0000 0.9896 0.0000  6 La 2.55-2.70
La: 0.7949 0.8246 0.7173  1 N 2.34
La: 0.2418 0.7289 0.9696  2 N 2.55-2.58
La: 0.5776 0.6072 0.2827  1 N 2.34
N: 0.1756 0.2895 0.5000  4 La 2.34-2.45

La2AuN | GGA-PBE | relaxed

space-group type	I-42d
spin magnetization	0.00	μB per atom
Fermi-level density of states	1.35	states/eV per cell
formation energy from raw total energies	-0.977	eV/atom

Unit cell a=7.0033 b=7.0033 c=6.5860 alpha=57.88 beta=57.88 gamma=90.00
Last column: nearest neighbours and their distance in Å.
Atoms (fractional coordinates):
N: 0.5000 0.5000 0.0000  4 La 2.38
N: 0.2500 0.7500 0.5000  4 La 2.38
La: 0.8750 0.7956 0.7500  2 N 2.38
La: 0.2044 0.6250 0.2500  2 N 2.38
Au: 0.7500 0.2500 0.5000  4 La 3.09
Au: 0.0000 0.0000 0.0000  4 La 3.09
La: 0.3750 0.4544 0.7500  2 N 2.38
La: 0.5456 0.1250 0.2500  2 N 2.38